# KWBr3 (PBE, relaxed)
data_KWBr3
_symmetry_space_group_name_H-M 'P 1'
_symmetry_Int_Tables_number 1
_symmetry_space_group_name_Hall 'P 1'
_cell_length_a 5.438
_cell_length_b 5.438
_cell_length_c 5.438
_cell_angle_alpha 90.00
_cell_angle_beta 90.00
_cell_angle_gamma 90.00
loop_
_atom_site_label
_atom_site_type_symbol
_atom_site_fract_x
_atom_site_fract_y
_atom_site_fract_z
K1 K 0.500 0.500 0.500
W1 W 0.000 0.000 0.000
Br1 Br 0.000 0.500 0.000
Br2 Br 0.000 0.000 0.500
Br3 Br 0.500 0.000 0.000
# ΔE_f (raw) = -0.2999 eV/atom
# total moment = 0.799 μB/atom
# offset from the most stable computed form = 354.6 meV per atom


# KWBr (PBE, relaxed)
data_KWBr
_symmetry_space_group_name_H-M 'P 1'
_symmetry_Int_Tables_number 1
_symmetry_space_group_name_Hall 'P 1'
_cell_length_a 8.206
_cell_length_b 7.950
_cell_length_c 3.128
_cell_angle_alpha 83.49
_cell_angle_beta 74.26
_cell_angle_gamma 22.25
loop_
_atom_site_label
_atom_site_type_symbol
_atom_site_fract_x
_atom_site_fract_y
_atom_site_fract_z
Br1 Br 0.012 0.012 0.988
K1 K 0.339 0.339 0.661
W1 W 0.648 0.648 0.352
# ΔE_f (raw) = 1.0039 eV/atom
# total moment = 0.144 μB/atom
# offset from the most stable computed form = 98.7 meV per atom


# K3WBr7 (PBE, relaxed)
data_K3WBr7
_symmetry_space_group_name_H-M 'P 1'
_symmetry_Int_Tables_number 1
_symmetry_space_group_name_Hall 'P 1'
_cell_length_a 7.320
_cell_length_b 7.320
_cell_length_c 7.894
_cell_angle_alpha 80.39
_cell_angle_beta 80.39
_cell_angle_gamma 95.30
loop_
_atom_site_label
_atom_site_type_symbol
_atom_site_fract_x
_atom_site_fract_y
_atom_site_fract_z
K1 K 0.784 0.219 0.480
K2 K 0.495 0.495 0.932
K3 K 0.219 0.784 0.480
W1 W 0.011 0.011 0.978
Br1 Br 0.168 0.168 0.201
Br2 Br 0.689 0.025 0.150
Br3 Br 0.003 0.335 0.800
Br4 Br 0.025 0.689 0.150
Br5 Br 0.542 0.542 0.516
Br6 Br 0.335 0.003 0.800
Br7 Br 0.854 0.854 0.761
# ΔE_f (raw) = -1.0992 eV/atom
# total moment = 0.182 μB/atom


# KWBr (PBE, relaxed)
data_KWBr
_symmetry_space_group_name_H-M 'P 1'
_symmetry_Int_Tables_number 1
_symmetry_space_group_name_Hall 'P 1'
_cell_length_a 5.392
_cell_length_b 5.392
_cell_length_c 5.392
_cell_angle_alpha 60.00
_cell_angle_beta 60.00
_cell_angle_gamma 60.00
loop_
_atom_site_label
_atom_site_type_symbol
_atom_site_fract_x
_atom_site_fract_y
_atom_site_fract_z
Br1 Br 0.750 0.750 0.750
K1 K 0.000 0.000 0.000
W1 W 0.500 0.500 0.500
# ΔE_f (raw) = 1.4479 eV/atom
# total moment = 1.943 μB/atom
# offset from the most stable computed form = 542.7 meV per atom


# K2WBr8 (PBE, relaxed)
data_K2WBr8
_symmetry_space_group_name_H-M 'P 1'
_symmetry_Int_Tables_number 1
_symmetry_space_group_name_Hall 'P 1'
_cell_length_a 6.482
_cell_length_b 8.313
_cell_length_c 8.313
_cell_angle_alpha 79.55
_cell_angle_beta 86.65
_cell_angle_gamma 86.65
loop_
_atom_site_label
_atom_site_type_symbol
_atom_site_fract_x
_atom_site_fract_y
_atom_site_fract_z
K1 K 0.227 0.620 0.620
K2 K 0.773 0.380 0.380
W1 W 0.000 0.000 0.000
Br1 Br 0.139 0.951 0.277
Br2 Br 0.139 0.277 0.951
Br3 Br 0.861 0.049 0.723
Br4 Br 0.274 0.369 0.369
Br5 Br 0.861 0.723 0.049
Br6 Br 0.331 0.888 0.888
Br7 Br 0.669 0.112 0.112
Br8 Br 0.726 0.631 0.631
# ΔE_f (raw) = -0.8392 eV/atom
# total moment = 0.015 μB/atom


# KWBr (PBE, relaxed)
data_KWBr
_symmetry_space_group_name_H-M 'P 1'
_symmetry_Int_Tables_number 1
_symmetry_space_group_name_Hall 'P 1'
_cell_length_a 5.206
_cell_length_b 5.206
_cell_length_c 3.747
_cell_angle_alpha 90.00
_cell_angle_beta 90.00
_cell_angle_gamma 120.00
loop_
_atom_site_label
_atom_site_type_symbol
_atom_site_fract_x
_atom_site_fract_y
_atom_site_fract_z
Br1 Br 0.000 0.000 0.834
K1 K 0.667 0.333 0.333
W1 W 0.333 0.667 0.833
# ΔE_f (raw) = 1.3250 eV/atom
# total moment = 1.582 μB/atom
# offset from the most stable computed form = 419.8 meV per atom